VASP calculation (GGA-PBE) on a relaxed structure of ScTaF2.

Lattice parameters (Å, degrees): 2.9400 2.9400 24.9809 90.00 90.00 120.00
Closest atoms and distances in Å follow each position.
Space group R-3m (No. 166, hexagonal axes)
Asymmetric unit:
1 Sc 0.0000 0.0000 0.0000 (multiplicity 3)  2 F 2.01
2 Ta 0.0000 0.0000 0.5000 (multiplicity 3)  6 F 2.74, 6 Ta 2.94
3 F 0.0000 0.0000 0.0805 (multiplicity 6)  1 Sc 2.01

Calculated values
Energy relative to the elements, uncorrected ... -1218 meV per atom

VASP calculation (GGA-PBE) on a relaxed structure of Na2TlCr.

Lattice parameters (Å, degrees): 7.4655 7.4655 7.4655 90.00 90.00 90.00
Closest atoms and distances in Å follow each position.
Space group Fm-3m (No. 225)
Asymmetric unit:
1 Na 0.2500 0.2500 0.2500 (multiplicity 8)  4 Cr 3.23, 4 Tl 3.23
2 Tl 0.0000 0.0000 0.0000 (multiplicity 4)  8 Na 3.23
3 Cr 0.0000 0.0000 0.5000 (multiplicity 4)  8 Na 3.23

Calculated values
Calculated formation energy ... 0.47 eV per atom

Number 1: energy relative to the lowest polymorph listed for this composition 0.5110 eV per atom. Number 2: energy relative to the lowest polymorph listed for this composition 0.0000 eV per atom.